A relaxed structure of LiBeV, computed with PBE.

Calculated values
DOS(E_F): 0.532 states/eV/atom
E_tot: -4.555 eV per atom
Distance to the lowest polymorph of the same formula: 0.67 eV per formula unit
Calculated density: 3.2 g/cm3
ΔE_f: 1.09 eV/f.u.

Lattice parameters (Å, degrees): 4.087 4.087 4.767 90.00 90.00 120.00
Fractional coordinates of all 6 atoms:
Li 0.000 0.000 0.000
Li 0.000 0.000 0.500
Be 0.333 0.667 0.250
Be 0.667 0.333 0.750
V 0.333 0.667 0.750
V 0.667 0.333 0.250



A relaxed structure of Sr2LiBiS4, computed with PBE.

Calculated values
DOS(E_F): 0.000 states/eV/atom
E_tot: -4.603 eV per atom
Calculated density: 4.3 g/cm3
ΔE_f (raw): -1.39 eV/atom

Lattice parameters (Å, degrees): 8.250 8.250 8.250 120.29 118.86 90.75
Fractional coordinates of all 16 atoms:
Sr 0.000 0.000 0.000
Sr 0.500 0.000 0.000
Sr 0.500 0.000 0.500
Sr 0.500 0.500 0.500
Li 0.000 0.500 0.500
Li 0.500 0.500 0.000
Bi 0.000 0.000 0.500
Bi 0.000 0.500 0.000
S 0.231 0.742 0.490
S 0.245 0.253 0.508
S 0.245 0.736 0.992
S 0.248 0.258 0.990
S 0.752 0.742 0.010
S 0.755 0.264 0.008
S 0.755 0.747 0.492
S 0.769 0.258 0.510



A relaxed structure of Ba2Li3ZnSb4, computed with PBE.

Calculated values
DOS(E_F): 0.129 states/eV/atom
E_tot: -3.489 eV per atom
Calculated density: 5.3 g/cm3
ΔE_f (raw): -0.75 eV/atom

Lattice parameters (Å, degrees): 4.782 4.782 11.583 90.00 90.00 90.00
Fractional coordinates of all 10 atoms:
Ba 0.000 0.500 0.249
Ba 0.500 0.000 0.751
Li 0.000 0.500 0.870
Li 0.500 0.000 0.130
Li 0.500 0.500 0.500
Zn 0.000 0.000 0.500
Sb 0.000 0.000 0.000
Sb 0.000 0.500 0.632
Sb 0.500 0.000 0.368
Sb 0.500 0.500 0.000



A relaxed structure of Sc2PdRu, computed with PBE.

Calculated values
DOS(E_F): 0.401 states/eV/atom
E_tot: -7.561 eV per atom
Calculated density: 7.2 g/cm3
ΔE_f: -3.11 eV/f.u.

Lattice parameters (Å, degrees): 4.597 4.597 4.597 60.00 60.00 60.00
Fractional coordinates of all 4 atoms:
Sc 0.250 0.250 0.250
Sc 0.750 0.750 0.750
Pd 0.000 0.000 0.000
Ru 0.500 0.500 0.500



A relaxed structure of NaSr3Tl4, computed with PBE.

Calculated values
DOS(E_F): 0.717 states/eV/atom
E_tot: -2.316 eV per atom
Calculated density: 6.9 g/cm3
ΔE_f: -2.70 eV/f.u.

Lattice parameters (Å, degrees): 4.073 4.073 15.905 90.00 90.00 90.00
Fractional coordinates of all 8 atoms:
Na 0.000 0.000 0.000
Sr 0.000 0.000 0.242
Sr 0.000 0.000 0.500
Sr 0.000 0.000 0.758
Tl 0.500 0.500 0.110
Tl 0.500 0.500 0.372
Tl 0.500 0.500 0.628
Tl 0.500 0.500 0.890



A relaxed structure of BaSnPb4, computed with PBE.

Calculated values
DOS(E_F): 0.275 states/eV/atom
E_tot: -3.629 eV per atom
Distance to the lowest polymorph of the same formula: 0.00 eV per formula unit
Calculated density: 8.8 g/cm3
ΔE_f: -1.02 eV/f.u.

Lattice parameters (Å, degrees): 6.623 6.623 6.623 60.00 60.00 60.00
Fractional coordinates of all 6 atoms:
Ba 0.000 0.000 0.000
Sn 0.250 0.250 0.250
Pb 0.127 0.624 0.624
Pb 0.624 0.127 0.624
Pb 0.624 0.624 0.127
Pb 0.624 0.624 0.624



Volume values (in Å³/atom) by entry order: 11.49, 24.97, 26.49, 17.17, 32.99, 34.23.